(1)
Here is an optimized crystal structure of TaReAs2 from Alexandria via LeMat-Bulk. Energies are from PBE-GGA.

E above lowest polymorph in meV/atom: 1
E_form in meV per atom: -92
DOS at the Fermi energy in states/eV/f.u.: 1.85

Cell lengths 3.297, 3.297, 5.988 Å; angles 90.00, 90.00, 90.00 degrees
Space group P4mm (No. 99)
One atom of each set of equivalent atoms:
1 Ta 0.000 0.000 0.000 x1
2 Re 0.500 0.500 0.683 x1
3 As 0.000 0.000 0.492 x1
4 As 0.500 0.500 0.189 x1


(2)
Here is an optimized crystal structure of Mg2AgF5 from Alexandria via LeMat-Bulk. Energies are from PBE-GGA.

DOS at the Fermi energy in states/eV/f.u.: 0.00

Cell lengths 3.935, 10.419, 10.193 Å; angles 90.00, 90.00, 90.00 degrees
Space group Cmcm (No. 63)
One atom of each set of equivalent atoms:
1 Mg 0.000 0.142 0.061 x8
2 Ag 0.000 0.427 0.250 x4
3 F 0.000 0.044 0.612 x8
4 F 0.000 0.190 0.250 x4
5 F 0.000 0.322 0.535 x8


(3)
Here is an optimized crystal structure of CsGeI2O from Alexandria via LeMat-Bulk. Energies are from PBE-GGA.

E above lowest polymorph in meV/atom: 0
DOS at the Fermi energy in states/eV/f.u.: 2.02

Cell lengths 6.519, 6.519, 3.840 Å; angles 90.00, 90.00, 90.00 degrees
Space group P4/mmm (No. 123)
One atom of each set of equivalent atoms:
1 Cs 0.000 0.000 0.000 x1
2 Ge 0.500 0.500 0.500 x1
3 I 0.000 0.500 0.500 x2
4 O 0.500 0.500 0.000 x1


(4)
Here is an optimized crystal structure of NaPmErSn from Alexandria via LeMat-Bulk. Energies are from PBE-GGA.

E_form in meV per atom: -272
DOS at the Fermi energy in states/eV/f.u.: 3.44

Cell lengths 7.601, 7.601, 7.601 Å; angles 90.00, 90.00, 90.00 degrees
Space group F-43m (No. 216)
One atom of each set of equivalent atoms:
1 Na 0.000 0.000 0.000 x4
2 Pm 0.250 0.250 0.250 x4
3 Er 0.250 0.250 0.750 x4
4 Sn 0.000 0.000 0.500 x4


(5)
Here is an optimized crystal structure of Tm8Tl2Pb from Alexandria via LeMat-Bulk. Energies are from PBE-GGA.

E_form in meV per atom: -204
DOS at the Fermi energy in states/eV/f.u.: 9.28

Cell lengths 16.248, 5.250, 8.453 Å; angles 90.00, 120.23, 90.00 degrees
Space group C2/m (No. 12)
One atom of each set of equivalent atoms:
1 Tm 0.062 0.000 0.219 x4
2 Tm 0.092 0.500 0.957 x4
3 Tm 0.143 0.000 0.686 x4
4 Tm 0.182 0.500 0.445 x4
5 Tl 0.219 0.000 0.117 x4
6 Pb 0.000 0.500 0.500 x2


(6)
Here is an optimized crystal structure of K3Ce2AgS6 from Alexandria via LeMat-Bulk. Energies are from PBE-GGA.

Cell lengths 7.065, 12.386, 7.672 Å; angles 90.00, 107.34, 90.00 degrees
Space group C2/m (No. 12)
One atom of each set of equivalent atoms:
1 K 0.000 0.000 0.000 x2
2 K 0.000 0.342 0.000 x4
3 Ce 0.000 0.167 0.500 x4
4 Ag 0.000 0.500 0.500 x2
5 S 0.222 0.000 0.698 x4
6 S 0.246 0.322 0.707 x8


(7)
Here is an optimized crystal structure of TbDyHgRu from Alexandria via LeMat-Bulk. Energies are from PBE-GGA.

E above lowest polymorph in meV/atom: 119
E_form in meV per atom: -354
DOS at the Fermi energy in states/eV/f.u.: 3.95

Cell lengths 7.125, 7.125, 7.125 Å; angles 90.00, 90.00, 90.00 degrees
Space group F-43m (No. 216)
One atom of each set of equivalent atoms:
1 Tb 0.000 0.000 0.000 x4
2 Dy 0.000 0.000 0.500 x4
3 Hg 0.250 0.250 0.750 x4
4 Ru 0.250 0.250 0.250 x4


(8)
Here is an optimized crystal structure of Cs2MgPS4 from Alexandria via LeMat-Bulk. Energies are from PBE-GGA.

DOS at the Fermi energy in states/eV/f.u.: 4.13

Cell lengths 6.002, 14.300, 25.119 Å; angles 90.00, 90.00, 90.00 degrees
Space group Fddd (No. 70, origin choice 2)
One atom of each set of equivalent atoms:
1 Cs 0.125 0.125 0.302 x16
2 Mg 0.125 0.125 0.125 x8
3 P 0.125 0.125 0.625 x8
4 S 0.096 0.286 0.827 x32


In order of appearance, total magnetic moment = 0.000; 0.000; 0.000; 0.005; 0.000; 0.000; 0.000; 0.699 μB/f.u..
In order of appearance, E_tot = -8.49; -4.80; -3.53; -3.93; -4.22; -4.98; -5.06; -4.03 eV per atom.